Version w
# TbCO4 | Alexandria via LeMat-Bulk | PBE | relaxed
# - ρ (g/cm3) = 5.7
# - V (Å³/atom) = 11.4
# - space group = P-6 (174)
data_TbCO4
_chemical_formula_sum 'Tb18 C18 O72'
_cell_length_a 9.7228
_cell_length_b 12.1173
_cell_length_c 12.1173
_cell_angle_alpha 120.00
_cell_angle_beta 90.00
_cell_angle_gamma 90.00
_symmetry_space_group_name_H-M 'P 1'
_symmetry_Int_Tables_number 1
_symmetry_space_group_name_Hall 'P 1'
loop_
_atom_site_label
_atom_site_type_symbol
_atom_site_fract_x
_atom_site_fract_y
_atom_site_fract_z
Tb1 Tb 0.2600 0.5543 0.1030
Tb2 Tb 0.2600 0.5487 0.4457
Tb3 Tb 0.2600 0.8970 0.4513
Tb4 Tb 0.7400 0.5543 0.1030
Tb5 Tb 0.7400 0.5487 0.4457
Tb6 Tb 0.7400 0.8970 0.4513
Tb7 Tb 0.2430 0.8872 0.7704
Tb8 Tb 0.2430 0.8832 0.1128
Tb9 Tb 0.2430 0.2296 0.1168
Tb10 Tb 0.7570 0.8872 0.7704
Tb11 Tb 0.7570 0.8832 0.1128
Tb12 Tb 0.7570 0.2296 0.1168
Tb13 Tb 0.2452 0.2220 0.7863
Tb14 Tb 0.2452 0.5642 0.7780
Tb15 Tb 0.2452 0.2137 0.4358
Tb16 Tb 0.7548 0.2220 0.7863
Tb17 Tb 0.7548 0.5642 0.7780
Tb18 Tb 0.7548 0.2137 0.4358
C1 C 0.5000 0.8049 0.8264
C2 C 0.5000 0.0215 0.1951
C3 C 0.5000 0.1736 0.9785
C4 C 0.5000 0.7591 0.2214
C5 C 0.5000 0.4623 0.2409
C6 C 0.5000 0.7786 0.5377
C7 C 0.5000 0.3620 0.8638
C8 C 0.5000 0.5018 0.6380
C9 C 0.5000 0.1362 0.4982
C10 C 0.0000 0.1143 0.9082
C11 C 0.0000 0.7940 0.8857
C12 C 0.0000 0.0918 0.2060
C13 C 0.0000 0.1289 0.5567
C14 C 0.0000 0.4278 0.8711
C15 C 0.0000 0.4433 0.5722
C16 C 0.0000 0.6886 0.1552
C17 C 0.0000 0.4666 0.3114
C18 C 0.0000 0.8448 0.5334
O1 O 0.5000 0.9068 0.8162
O2 O 0.5000 0.9094 0.0932
O3 O 0.5000 0.1838 0.0906
O4 O 0.3829 0.7565 0.8295
O5 O 0.3829 0.0730 0.2435
O6 O 0.3829 0.1705 0.9270
O7 O 0.6171 0.7565 0.8295
O8 O 0.6171 0.0730 0.2435
O9 O 0.6171 0.1705 0.9270
O10 O 0.5000 0.6358 0.1575
O11 O 0.5000 0.5216 0.3642
O12 O 0.5000 0.8425 0.4784
O13 O 0.3837 0.4335 0.1808
O14 O 0.3837 0.7474 0.5665
O15 O 0.3837 0.8192 0.2526
O16 O 0.6163 0.4335 0.1808
O17 O 0.6163 0.7474 0.5665
O18 O 0.6163 0.8192 0.2526
O19 O 0.5000 0.2515 0.7609
O20 O 0.5000 0.5094 0.7485
O21 O 0.5000 0.2391 0.4906
O22 O 0.3835 0.4134 0.9139
O23 O 0.3835 0.5006 0.5866
O24 O 0.3835 0.0861 0.4994
O25 O 0.6165 0.4134 0.9139
O26 O 0.6165 0.5006 0.5866
O27 O 0.6165 0.0861 0.4994
O28 O 0.0000 0.8579 0.8267
O29 O 0.0000 0.9688 0.1421
O30 O 0.0000 0.1733 0.0312
O31 O 0.1157 0.0851 0.8471
O32 O 0.1157 0.7620 0.9149
O33 O 0.1157 0.1529 0.2380
O34 O 0.8843 0.0851 0.8471
O35 O 0.8843 0.7620 0.9149
O36 O 0.8843 0.1529 0.2380
O37 O 0.0000 0.3047 0.8176
O38 O 0.0000 0.5129 0.6953
O39 O 0.0000 0.1824 0.4871
O40 O 0.1161 0.1028 0.5908
O41 O 0.1161 0.4880 0.8972
O42 O 0.1161 0.4092 0.5120
O43 O 0.8839 0.1028 0.5908
O44 O 0.8839 0.4880 0.8972
O45 O 0.8839 0.4092 0.5120
O46 O 0.0000 0.5777 0.1472
O47 O 0.0000 0.5695 0.4223
O48 O 0.0000 0.8528 0.4305
O49 O 0.1164 0.7408 0.1579
O50 O 0.1164 0.4171 0.2592
O51 O 0.1164 0.8421 0.5829
O52 O 0.8836 0.7408 0.1579
O53 O 0.8836 0.4171 0.2592
O54 O 0.8836 0.8421 0.5829
O55 O 0.2452 0.6667 0.3333
O56 O 0.7548 0.6667 0.3333
O57 O 0.2501 0.0000 0.0000
O58 O 0.7499 0.0000 0.0000
O59 O 0.2554 0.3333 0.6667
O60 O 0.7446 0.3333 0.6667
O61 O 0.1946 0.6681 0.6604
O62 O 0.1946 0.9923 0.3319
O63 O 0.1946 0.3396 0.0077
O64 O 0.8054 0.6681 0.6604
O65 O 0.8054 0.9923 0.3319
O66 O 0.8054 0.3396 0.0077
O67 O 0.3039 0.0061 0.6722
O68 O 0.3039 0.6661 0.9939
O69 O 0.3039 0.3278 0.3339
O70 O 0.6961 0.0061 0.6722
O71 O 0.6961 0.6661 0.9939
O72 O 0.6961 0.3278 0.3339

=====

Version x
# TbCO4 | Alexandria via LeMat-Bulk | PBE | relaxed
# - ρ (g/cm3) = 4.9
# - V (Å³/atom) = 13.1
# - space group = P2_12_12_1 (19)
data_TbCO4
_chemical_formula_sum 'Tb4 C4 O16'
_cell_length_a 4.8293
_cell_length_b 7.2729
_cell_length_c 8.9785
_cell_angle_alpha 90.00
_cell_angle_beta 90.00
_cell_angle_gamma 90.00
_symmetry_space_group_name_H-M 'P 1'
_symmetry_Int_Tables_number 1
_symmetry_space_group_name_Hall 'P 1'
loop_
_atom_site_label
_atom_site_type_symbol
_atom_site_fract_x
_atom_site_fract_y
_atom_site_fract_z
Tb1 Tb 0.0341 0.8632 0.3322
Tb2 Tb 0.4659 0.1368 0.8322
Tb3 Tb 0.9659 0.3632 0.1678
Tb4 Tb 0.5341 0.6368 0.6678
C1 C 0.0169 0.9596 0.6618
C2 C 0.4831 0.0404 0.1618
C3 C 0.9831 0.4596 0.8382
C4 C 0.5169 0.5404 0.3382
O1 O 0.9726 0.6710 0.1430
O2 O 0.5274 0.3290 0.6430
O3 O 0.0274 0.1710 0.3570
O4 O 0.4726 0.8290 0.8570
O5 O 0.5446 0.9339 0.2702
O6 O 0.9554 0.0661 0.7702
O7 O 0.4554 0.4339 0.2298
O8 O 0.0446 0.5661 0.7298
O9 O 0.7799 0.5677 0.3686
O10 O 0.7201 0.4323 0.8686
O11 O 0.2201 0.0677 0.1314
O12 O 0.2799 0.9323 0.6314
O13 O 0.3360 0.6204 0.4230
O14 O 0.1640 0.3796 0.9230
O15 O 0.6640 0.1204 0.0770
O16 O 0.8360 0.8796 0.5770

=====

Version y
# TbCO4 | Alexandria via LeMat-Bulk | PBE | relaxed
# - ρ (g/cm3) = 3.9
# - V (Å³/atom) = 16.7
# - space group = P2_1/m (11)
data_TbCO4
_chemical_formula_sum 'Tb2 C2 O8'
_cell_length_a 3.8895
_cell_length_b 5.6111
_cell_length_c 9.1922
_cell_angle_alpha 90.00
_cell_angle_beta 90.65
_cell_angle_gamma 90.00
_symmetry_space_group_name_H-M 'P 1'
_symmetry_Int_Tables_number 1
_symmetry_space_group_name_Hall 'P 1'
loop_
_atom_site_label
_atom_site_type_symbol
_atom_site_fract_x
_atom_site_fract_y
_atom_site_fract_z
Tb1 Tb 0.2487 0.7500 0.4455
Tb2 Tb 0.7513 0.2500 0.5545
C1 C 0.9760 0.7500 0.9055
C2 C 0.0240 0.2500 0.0945
O1 O 0.1669 0.7500 0.0059
O2 O 0.8331 0.2500 0.9941
O3 O 0.7814 0.7500 0.8071
O4 O 0.2186 0.2500 0.1929
O5 O 0.2531 0.0471 0.6111
O6 O 0.7469 0.5471 0.3889
O7 O 0.2531 0.4529 0.6111
O8 O 0.7469 0.9529 0.3889

=====

Stability ranking, top and bottom: version w is the most stable and version y is the least stable.

=====

Version w
# Ti6CO | Alexandria via LeMat-Bulk | PBE | relaxed
# - ρ (g/cm3) = 4.6
# - V (Å³/atom) = 14.2
# - space group = C2/m (12)
data_Ti6CO
_chemical_formula_sum 'Ti6 C1 O1'
_cell_length_a 5.1640
_cell_length_b 5.1697
_cell_length_c 5.1543
_cell_angle_alpha 120.10
_cell_angle_beta 98.45
_cell_angle_gamma 72.97
_symmetry_space_group_name_H-M 'P 1'
_symmetry_Int_Tables_number 1
_symmetry_space_group_name_Hall 'P 1'
loop_
_atom_site_label
_atom_site_type_symbol
_atom_site_fract_x
_atom_site_fract_y
_atom_site_fract_z
Ti1 Ti 0.7507 0.7487 0.0000
Ti2 Ti 0.2521 0.9111 0.3203
Ti3 Ti 0.2493 0.2513 0.0000
Ti4 Ti 0.7479 0.4092 0.3203
Ti5 Ti 0.7479 0.0889 0.6797
Ti6 Ti 0.2521 0.5908 0.6797
C1 C 0.5000 0.5000 0.0000
O1 O 0.0000 0.0000 0.0000

=====

Version x
# Ti6CO | Alexandria via LeMat-Bulk | PBE | relaxed
# - ρ (g/cm3) = 4.6
# - V (Å³/atom) = 14.1
# - space group = R-3 (148)
data_Ti6CO
_chemical_formula_sum 'Ti6 C1 O1'
_cell_length_a 5.1705
_cell_length_b 5.1704
_cell_length_c 5.7237
_cell_angle_alpha 63.15
_cell_angle_beta 63.15
_cell_angle_gamma 60.00
_symmetry_space_group_name_H-M 'P 1'
_symmetry_Int_Tables_number 1
_symmetry_space_group_name_Hall 'P 1'
loop_
_atom_site_label
_atom_site_type_symbol
_atom_site_fract_x
_atom_site_fract_y
_atom_site_fract_z
Ti1 Ti 0.0921 0.4092 0.7493
Ti2 Ti 0.7494 0.0921 0.7493
Ti3 Ti 0.5908 0.2506 0.2507
Ti4 Ti 0.2506 0.9079 0.2507
Ti5 Ti 0.9079 0.5908 0.2507
Ti6 Ti 0.4092 0.7494 0.7493
C1 C 0.5000 0.5000 0.5000
O1 O 0.0000 0.0000 0.0000

=====

Stability ranking, top and bottom: version x is the most stable and version w is the least stable.

=====

Version w
# Ti6C2O | Alexandria via LeMat-Bulk | PBE | relaxed
# - ρ (g/cm3) = 4.7
# - V (Å³/atom) = 12.9
# - space group = P4_2/mnm (136)
data_Ti6C2O
_chemical_formula_sum 'Ti12 C4 O2'
_cell_length_a 5.0098
_cell_length_b 5.0098
_cell_length_c 9.2668
_cell_angle_alpha 90.00
_cell_angle_beta 90.00
_cell_angle_gamma 90.00
_symmetry_space_group_name_H-M 'P 1'
_symmetry_Int_Tables_number 1
_symmetry_space_group_name_Hall 'P 1'
loop_
_atom_site_label
_atom_site_type_symbol
_atom_site_fract_x
_atom_site_fract_y
_atom_site_fract_z
Ti1 Ti 0.2960 0.2960 0.3350
Ti2 Ti 0.7040 0.7040 0.3350
Ti3 Ti 0.2040 0.7960 0.8350
Ti4 Ti 0.7960 0.2040 0.8350
Ti5 Ti 0.2040 0.7960 0.1650
Ti6 Ti 0.7960 0.2040 0.1650
Ti7 Ti 0.2960 0.2960 0.6650
Ti8 Ti 0.7040 0.7040 0.6650
Ti9 Ti 0.2986 0.2986 0.0000
Ti10 Ti 0.7014 0.7014 0.0000
Ti11 Ti 0.2014 0.7986 0.5000
Ti12 Ti 0.7986 0.2014 0.5000
C1 C 0.0000 0.0000 0.3316
C2 C 0.5000 0.5000 0.8316
C3 C 0.5000 0.5000 0.1684
C4 C 0.0000 0.0000 0.6684
O1 O 0.0000 0.0000 0.0000
O2 O 0.5000 0.5000 0.5000

=====

Version x
# Ti6C2O | Alexandria via LeMat-Bulk | PBE | relaxed
# - ρ (g/cm3) = 4.5
# - V (Å³/atom) = 13.6
# - space group = C2/m (12)
data_Ti6C2O
_chemical_formula_sum 'Ti6 C2 O1'
_cell_length_a 4.0866
_cell_length_b 5.3505
_cell_length_c 6.6627
_cell_angle_alpha 112.95
_cell_angle_beta 90.00
_cell_angle_gamma 112.45
_symmetry_space_group_name_H-M 'P 1'
_symmetry_Int_Tables_number 1
_symmetry_space_group_name_Hall 'P 1'
loop_
_atom_site_label
_atom_site_type_symbol
_atom_site_fract_x
_atom_site_fract_y
_atom_site_fract_z
Ti1 Ti 0.3254 0.6509 0.9333
Ti2 Ti 0.6746 0.3491 0.0667
Ti3 Ti 0.0166 0.0332 0.2190
Ti4 Ti 0.6529 0.3057 0.5824
Ti5 Ti 0.9834 0.9668 0.7810
Ti6 Ti 0.3471 0.6943 0.4176
C1 C 0.8238 0.6476 0.9084
C2 C 0.1762 0.3524 0.0916
O1 O 0.0000 0.0000 0.5000

=====

Stability ranking, top and bottom: version w is the most stable and version x is the least stable.

=====

Version w
# TiC3O | Alexandria via LeMat-Bulk | PBE | relaxed
# - ρ (g/cm3) = 3.8
# - V (Å³/atom) = 8.8
# - space group = Pm-3m (221)
data_TiC3O
_chemical_formula_sum 'Ti1 C3 O1'
_cell_length_a 3.5255
_cell_length_b 3.5255
_cell_length_c 3.5255
_cell_angle_alpha 90.00
_cell_angle_beta 90.00
_cell_angle_gamma 90.00
_symmetry_space_group_name_H-M 'P 1'
_symmetry_Int_Tables_number 1
_symmetry_space_group_name_Hall 'P 1'
loop_
_atom_site_label
_atom_site_type_symbol
_atom_site_fract_x
_atom_site_fract_y
_atom_site_fract_z
C1 C 0.0000 0.5000 0.0000
C2 C 0.0000 0.0000 0.5000
C3 C 0.5000 0.0000 0.0000
O1 O 0.0000 0.0000 0.0000
Ti1 Ti 0.5000 0.5000 0.5000

=====

Version x
# TiC3O | Alexandria via LeMat-Bulk | PBE | relaxed
# - ρ (g/cm3) = 2.5
# - V (Å³/atom) = 13.5
# - space group = Pm-3m (221)
data_TiC3O
_chemical_formula_sum 'Ti1 C3 O1'
_cell_length_a 4.0690
_cell_length_b 4.0690
_cell_length_c 4.0690
_cell_angle_alpha 90.00
_cell_angle_beta 90.00
_cell_angle_gamma 90.00
_symmetry_space_group_name_H-M 'P 1'
_symmetry_Int_Tables_number 1
_symmetry_space_group_name_Hall 'P 1'
loop_
_atom_site_label
_atom_site_type_symbol
_atom_site_fract_x
_atom_site_fract_y
_atom_site_fract_z
C1 C 0.0000 0.5000 0.0000
C2 C 0.0000 0.0000 0.5000
C3 C 0.5000 0.0000 0.0000
O1 O 0.5000 0.5000 0.5000
Ti1 Ti 0.0000 0.0000 0.0000

=====

Stability ranking, top and bottom: version w is the most stable and version x is the least stable.